No. 1
# ScOsS3 GGA-PBEsol relaxed
# - total magnetization (μB per formula unit) = 3.9
# - formation energy (no corrections) (eV/atom) = 0.795
# - calculated total energy (eV per atom) = -5.600
data_ScOsS3
_chemical_formula_sum 'Sc1 Os1 S3'
_cell_length_a 4.752
_cell_length_b 4.752
_cell_length_c 4.752
_cell_angle_alpha 90.00
_cell_angle_beta 90.00
_cell_angle_gamma 90.00
_symmetry_space_group_name_H-M 'P m -3 m'
_symmetry_Int_Tables_number 221
_symmetry_space_group_name_Hall '-P 4 2 3'
loop_
_atom_site_label
_atom_site_type_symbol
_atom_site_fract_x
_atom_site_fract_y
_atom_site_fract_z
Sc1 Sc 0.000 0.000 0.000
Os1 Os 0.500 0.500 0.500
S1 S 0.000 0.000 0.500

No. 2
# Co2AgAsCl GGA-PBEsol relaxed
# - total magnetization (μB per formula unit) = 4.7
# - formation energy (no corrections) (eV/atom) = 1.410
# - calculated total energy (eV per atom) = -3.769
data_Co2AgAsCl
_chemical_formula_sum 'Co2 Ag1 As1 Cl1'
_cell_length_a 4.874
_cell_length_b 4.874
_cell_length_c 4.565
_cell_angle_alpha 90.00
_cell_angle_beta 90.00
_cell_angle_gamma 90.00
_symmetry_space_group_name_H-M 'P 4/m m m'
_symmetry_Int_Tables_number 123
_symmetry_space_group_name_Hall '-P 4 2'
loop_
_atom_site_label
_atom_site_type_symbol
_atom_site_fract_x
_atom_site_fract_y
_atom_site_fract_z
Co1 Co 0.000 0.500 0.000
Ag1 Ag 0.000 0.000 0.000
As1 As 0.000 0.000 0.500
Cl1 Cl 0.500 0.500 0.500